A PBEsol-optimized structure of Cs2ZnCl4. Source: Alexandria, functional SCAN.

a b c (Å): 9.694 7.194 12.988
angles (deg): 90.00 90.00 90.00
Space group Pnma (No. 62)
Inequivalent atoms, fractional coordinates:
Cs  0.021  0.250  0.173 x4
Cs  0.136  0.750  0.410 x4
Zn  0.234  0.750  0.077 x4
Cl  0.004  0.750  0.096 x4
Cl  0.173  0.503  0.652 x8
Cl  0.188  0.250  0.413 x4

Summary:
Density of states at the Fermi level   0.0 states/eV/f.u.
Energy relative to the elements, uncorrected   -1907 meV per atom

A PBEsol-optimized structure of CsZr2Cl2. Source: Alexandria, functional SCAN.

a b c (Å): 4.105 4.105 15.239
angles (deg): 90.00 90.00 90.00
Space group I4/mmm (No. 139)
Inequivalent atoms, fractional coordinates:
Cs  0.000  0.000  0.000 x2
Zr  0.000  0.500  0.250 x4
Cl  0.000  0.000  0.367 x4

Summary:
Density of states at the Fermi level   1.8 states/eV/f.u.
Energy relative to the elements, uncorrected   -854 meV per atom

A PBEsol-optimized structure of Cu2Cl. Source: Alexandria, functional SCAN.

a b c (Å): 2.917 2.917 9.901
angles (deg): 90.00 90.00 90.00
Space group I4/mmm (No. 139)
Inequivalent atoms, fractional coordinates:
Cu  0.000  0.000  0.176 x4
Cl  0.000  0.000  0.500 x2

Summary:
Density of states at the Fermi level   0.7 states/eV/f.u.
Energy relative to the elements, uncorrected   201 meV per atom

A PBEsol-optimized structure of Cu12Cl17. Source: Alexandria, functional SCAN.

a b c (Å): 11.615 11.615 11.615
angles (deg): 90.00 90.00 90.00
Space group I-43m (No. 217)
Inequivalent atoms, fractional coordinates:
Cu  0.108  0.275  0.725 x24
Cl  0.000  0.000  0.000 x2
Cl  0.073  0.332  0.332 x24
Cl  0.138  0.138  0.862 x8

Summary:
Density of states at the Fermi level   11.2 states/eV/f.u.
Energy relative to the elements, uncorrected   -467 meV per atom

A PBEsol-optimized structure of Cu3Cl. Source: Alexandria, functional SCAN.

a b c (Å): 3.039 3.039 5.771
angles (deg): 90.00 90.00 90.00
Space group P4/mmm (No. 123)
Inequivalent atoms, fractional coordinates:
Cu  0.000  0.000  0.000 x1
Cu  0.500  0.500  0.214 x2
Cl  0.000  0.000  0.500 x1

Summary:
Density of states at the Fermi level   0.5 states/eV/f.u.
Distance to the lowest polymorph of the same formula   0.0 meV/atom
Energy relative to the elements, uncorrected   105 meV per atom

A PBEsol-optimized structure of Cu3Cl. Source: Alexandria, functional SCAN.

a b c (Å): 3.207 3.469 5.142
angles (deg): 90.00 90.00 90.00
Space group Pmm2 (No. 25)
Inequivalent atoms, fractional coordinates:
Cu  0.000  0.000  0.000 x1
Cu  0.000  0.500  0.320 x1
Cu  0.500  0.500  0.947 x1
Cl  0.500  0.000  0.575 x1

Summary:
Density of states at the Fermi level   0.4 states/eV/f.u.
Distance to the lowest polymorph of the same formula   33.1 meV/atom
Energy relative to the elements, uncorrected   138 meV per atom

A PBEsol-optimized structure of DyCuTe2ClO6. Source: Alexandria, functional SCAN.

a b c (Å): 5.375 14.662 9.098
angles (deg): 90.00 100.52 90.00
Space group P2_1/c (No. 14)
Inequivalent atoms, fractional coordinates:
Dy  0.247  0.087  0.474 x4
Cu  0.228  0.223  0.173 x4
Te  0.241  0.657  0.778 x4
Te  0.283  0.589  0.301 x4
Cl  0.217  0.098  0.948 x4
O  0.005  0.176  0.599 x4
O  0.034  0.681  0.226 x4
O  0.130  0.517  0.137 x4
O  0.375  0.546  0.871 x4
O  0.460  0.139  0.293 x4
O  0.489  0.218  0.590 x4

Summary:
Density of states at the Fermi level   0.0 states/eV/f.u.
Energy relative to the elements, uncorrected   -1753 meV per atom

A PBEsol-optimized structure of Rb2DyCuCl6. Source: Alexandria, functional SCAN.

a b c (Å): 10.155 10.155 10.155
angles (deg): 90.00 90.00 90.00
Space group Fm-3m (No. 225)
Inequivalent atoms, fractional coordinates:
Rb  0.250  0.250  0.250 x8
Dy  0.000  0.000  0.000 x4
Cu  0.000  0.000  0.500 x4
Cl  0.000  0.000  0.256 x24

Summary:
Density of states at the Fermi level   0.0 states/eV/f.u.
Energy relative to the elements, uncorrected   -2001 meV per atom

A PBEsol-optimized structure of CuClF10. Source: Alexandria, functional SCAN.

a b c (Å): 7.826 8.782 5.195
angles (deg): 90.00 96.19 90.00
Space group P2_1/c (No. 14)
Inequivalent atoms, fractional coordinates:
Cu  0.000  0.000  0.000 x2
Cl  0.500  0.000  0.500 x2
F  0.142  0.140  0.916 x4
F  0.152  0.642  0.461 x4
F  0.345  0.053  0.676 x4
F  0.352  0.569  0.774 x4
F  0.489  0.167  0.352 x4

Summary:
Energy relative to the elements, uncorrected   -696 meV per atom

A PBEsol-optimized structure of CuClF2. Source: Alexandria, functional SCAN.

a b c (Å): 2.7215 2.7215 27.2404
angles (deg): 90.00 90.00 120.00
Space group R-3m (No. 166, hexagonal axes)
Inequivalent atoms, fractional coordinates:
Cu  0.0000  0.0000  0.0000 x3
Cl  0.0000  0.0000  0.5000 x3
F  0.0000  0.0000  0.0631 x6

Summary:
Density of states at the Fermi level   3.2 states/eV/f.u.
Energy relative to the elements, uncorrected   -493 meV per atom

A PBEsol-optimized structure of K2CuCl2F2. Source: Alexandria, functional SCAN.

a b c (Å): 14.492 6.148 6.147
angles (deg): 90.00 90.00 90.00
Space group Cmce (No. 64)
Inequivalent atoms, fractional coordinates:
K  0.122  0.000  0.000 x8
Cu  0.000  0.000  0.500 x4
Cl  0.158  0.000  0.500 x8
F  0.000  0.221  0.279 x8

Summary:
Density of states at the Fermi level   0.0 states/eV/f.u.
Energy relative to the elements, uncorrected   -2081 meV per atom

A PBEsol-optimized structure of FeCu2Cl. Source: Alexandria, functional SCAN.

a b c (Å): 2.864 2.864 6.516
angles (deg): 90.00 90.00 90.00
Space group P4/mmm (No. 123)
Inequivalent atoms, fractional coordinates:
Fe  0.000  0.000  0.000 x1
Cu  0.500  0.500  0.233 x2
Cl  0.000  0.000  0.500 x1

Summary:
Density of states at the Fermi level   1.4 states/eV/f.u.
Distance to the lowest polymorph of the same formula   4.8 meV/atom
Energy relative to the elements, uncorrected   235 meV per atom

A PBEsol-optimized structure of FeCuCl. Source: Alexandria, functional SCAN.

a b c (Å): 2.832 2.832 11.045
angles (deg): 90.00 90.00 90.00
Space group I4mm (No. 107)
Inequivalent atoms, fractional coordinates:
Fe  0.000  0.000  0.000 x2
Cu  0.000  0.000  0.358 x2
Cl  0.000  0.000  0.634 x2

Summary:
Density of states at the Fermi level   2.1 states/eV/f.u.
Distance to the lowest polymorph of the same formula   10.9 meV/atom
Energy relative to the elements, uncorrected   170 meV per atom

A PBEsol-optimized structure of FeCu2Cl. Source: Alexandria, functional SCAN.

a b c (Å): 2.759 3.907 10.190
angles (deg): 90.00 90.00 90.00
Space group Immm (No. 71)
Inequivalent atoms, fractional coordinates:
Fe  0.000  0.000  0.000 x2
Cu  0.000  0.500  0.279 x4
Cl  0.000  0.000  0.500 x2

Summary:
Density of states at the Fermi level   1.7 states/eV/f.u.
Distance to the lowest polymorph of the same formula   152.5 meV/atom
Energy relative to the elements, uncorrected   383 meV per atom

A PBEsol-optimized structure of FeCu2Cl. Source: Alexandria, functional SCAN.

a b c (Å): 2.757 3.776 11.310
angles (deg): 90.00 90.00 90.00
Space group Imm2 (No. 44)
Inequivalent atoms, fractional coordinates:
Fe  0.000  0.000  0.000 x2
Cu  0.000  0.000  0.566 x2
Cu  0.000  0.500  0.694 x2
Cl  0.000  0.500  0.333 x2

Summary:
Density of states at the Fermi level   2.3 states/eV/f.u.
Distance to the lowest polymorph of the same formula   0.0 meV/atom
Energy relative to the elements, uncorrected   230 meV per atom

A PBEsol-optimized structure of FeCuCl2. Source: Alexandria, functional SCAN.

a b c (Å): 4.227 4.659 6.704
angles (deg): 90.00 90.00 90.00
Space group Cmm2 (No. 35)
Inequivalent atoms, fractional coordinates:
Fe  0.000  0.000  0.000 x2
Cu  0.000  0.500  0.797 x2
Cl  0.000  0.000  0.636 x2
Cl  0.000  0.500  0.200 x2

Summary:
Density of states at the Fermi level   0.3 states/eV/f.u.
Distance to the lowest polymorph of the same formula   0.0 meV/atom
Energy relative to the elements, uncorrected   -221 meV per atom

A PBEsol-optimized structure of FeCuCl2. Source: Alexandria, functional SCAN.

a b c (Å): 6.349 6.349 6.349
angles (deg): 90.00 90.00 90.00
Space group F-43m (No. 216)
Inequivalent atoms, fractional coordinates:
Fe  0.000  0.000  0.000 x4
Cu  0.250  0.250  0.250 x4
Cl  0.000  0.000  0.500 x4
Cl  0.250  0.250  0.750 x4

Summary:
Density of states at the Fermi level   5.8 states/eV/f.u.
Distance to the lowest polymorph of the same formula   726.1 meV/atom
Energy relative to the elements, uncorrected   505 meV per atom

A PBEsol-optimized structure of FeCuCl. Source: Alexandria, functional SCAN.

a b c (Å): 3.046 4.916 11.443
angles (deg): 90.00 90.00 90.00
Space group Fmm2 (No. 42)
Inequivalent atoms, fractional coordinates:
Fe  0.000  0.000  0.000 x4
Cu  0.000  0.000  0.663 x4
Cl  0.000  0.000  0.341 x4

Summary:
Density of states at the Fermi level   1.2 states/eV/f.u.
Distance to the lowest polymorph of the same formula   0.0 meV/atom
Energy relative to the elements, uncorrected   159 meV per atom

A PBEsol-optimized structure of FeCuCl2. Source: Alexandria, functional SCAN.

a b c (Å): 6.151 6.151 6.151
angles (deg): 90.00 90.00 90.00
Space group Fm-3m (No. 225)
Inequivalent atoms, fractional coordinates:
Fe  0.000  0.000  0.000 x4
Cu  0.000  0.000  0.500 x4
Cl  0.250  0.250  0.250 x8

Summary:
Density of states at the Fermi level   1.4 states/eV/f.u.
Distance to the lowest polymorph of the same formula   218.1 meV/atom
Energy relative to the elements, uncorrected   -3 meV per atom

A PBEsol-optimized structure of FeCu2Cl. Source: Alexandria, functional SCAN.

a b c (Å): 2.840 4.030 4.604
angles (deg): 90.00 90.00 90.00
Space group Pmmm (No. 47)
Inequivalent atoms, fractional coordinates:
Fe  0.000  0.000  0.000 x1
Cu  0.000  0.500  0.500 x1
Cu  0.500  0.000  0.500 x1
Cl  0.500  0.500  0.000 x1

Summary:
Density of states at the Fermi level   1.8 states/eV/f.u.
Distance to the lowest polymorph of the same formula   188.0 meV/atom
Energy relative to the elements, uncorrected   418 meV per atom

A PBEsol-optimized structure of FeCuOsCl2. Source: Alexandria, functional SCAN.

a b c (Å): 4.313 4.313 5.070
angles (deg): 90.00 90.00 90.00
Space group P4/mmm (No. 123)
Inequivalent atoms, fractional coordinates:
Fe  0.000  0.000  0.000 x1
Cu  0.500  0.500  0.500 x1
Os  0.500  0.500  0.000 x1
Cl  0.000  0.500  0.500 x2

Summary:
Density of states at the Fermi level   4.0 states/eV/f.u.
Energy relative to the elements, uncorrected   1240 meV per atom

A PBEsol-optimized structure of Fe2CuTcCl. Source: Alexandria, functional SCAN.

a b c (Å): 4.425 4.425 4.486
angles (deg): 90.00 90.00 90.00
Space group P4/mmm (No. 123)
Inequivalent atoms, fractional coordinates:
Fe  0.000  0.500  0.000 x2
Cu  0.000  0.000  0.500 x1
Tc  0.500  0.500  0.000 x1
Cl  0.500  0.500  0.500 x1

Summary:
Density of states at the Fermi level   5.2 states/eV/f.u.
Energy relative to the elements, uncorrected   1403 meV per atom